{"formula": "CePrCo2", "functional": "PBE", "state": "relaxed", "magnetic_moment_mub_per_fu": 0.000, "total_energy_ev_per_atom": -6.285, "ef_mev_per_atom": -54, "de_polymorph_ev_per_atom": 0.115, "cell": [[-0.560, -3.316, -0.256], [-0.132, -0.237, 3.362], [-6.830, 1.169, -0.186]], "species": ["Pr", "Co", "Co", "Ce"], "frac_coords": [[0.500, 0.500, 0.500], [0.000, 0.000, 0.799], [0.000, 0.000, 0.201], [0.500, 0.500, 0.000]]}

=====

{"formula": "Ce6PrCo3", "functional": "PBE", "state": "relaxed", "magnetic_moment_mub_per_fu": 1.094, "total_energy_ev_per_atom": -6.244, "ef_mev_per_atom": -74, "cell": [[-2.089, -4.448, 6.714], [-3.950, -4.111, -3.952], [6.755, -4.280, -2.298]], "species": ["Ce", "Ce", "Ce", "Ce", "Ce", "Ce", "Ce", "Ce", "Ce", "Ce", "Ce", "Ce", "Pr", "Pr", "Co", "Co", "Co", "Co", "Co", "Co"], "frac_coords": [[0.287, 0.834, 0.385], [0.385, 0.334, 0.287], [0.410, 0.693, 0.047], [0.047, 0.193, 0.410], [0.959, 0.792, 0.041], [0.775, 0.530, 0.225], [0.225, 0.030, 0.775], [0.041, 0.292, 0.959], [0.953, 0.693, 0.590], [0.590, 0.193, 0.953], [0.615, 0.834, 0.713], [0.713, 0.334, 0.615], [0.683, 0.001, 0.317], [0.317, 0.501, 0.683], [0.108, 0.505, 0.294], [0.294, 0.005, 0.108], [0.582, 0.627, 0.418], [0.418, 0.127, 0.582], [0.892, 0.005, 0.706], [0.706, 0.505, 0.892]]}

=====

{"formula": "CePrCo", "functional": "PBE", "state": "relaxed", "magnetic_moment_mub_per_fu": 0.024, "total_energy_ev_per_atom": -6.025, "ef_mev_per_atom": -85, "de_polymorph_ev_per_atom": 0.039, "cell": [[4.031, -0.426, 0.546], [-2.407, 4.116, 0.133], [0.681, 0.075, 9.918]], "species": ["Pr", "Pr", "Ce", "Ce", "Co", "Co"], "frac_coords": [[0.475, 0.737, 0.132], [0.525, 0.263, 0.868], [0.550, 0.275, 0.399], [0.450, 0.725, 0.601], [0.953, 0.976, 0.713], [0.047, 0.024, 0.287]]}